(1)
This record from Alexandria describes an optimized crystal structure of CaInSe3. The functional is GGA-PBE.

Lattice parameters (Å, degrees): 5.589 5.589 5.589 90.00 90.00 90.00
Each line ends with the local moment (μB).
Positions (direct):
In1 0.500 0.500 0.500  0.02
Ca1 0.000 0.000 0.000  0.00
Se1 0.000 0.500 0.000  0.67
Se2 0.500 0.000 0.000  0.48
Se3 0.000 0.000 0.500  0.63

Size of the total moment ... 2.92 μB per formula unit
Raw formation energy ... -0.201 eV/atom

---

(2)
This record from Alexandria describes an optimized crystal structure of CaIn2Se. The functional is GGA-PBE.

Lattice parameters (Å, degrees): 4.019 4.021 7.483 90.00 90.00 90.00
Positions (direct):
In1 0.500 0.500 0.207
In2 0.000 0.000 0.005
Ca1 0.500 0.500 0.666
Se1 0.000 0.000 0.623

Size of the total moment ... 0.00 μB per formula unit
Raw formation energy ... -0.731 eV/atom

---

(3)
This record from Alexandria describes an optimized crystal structure of CaInSe. The functional is GGA-PBE.

Lattice parameters (Å, degrees): 6.726 6.726 4.022 72.60 72.61 34.79
Positions (direct):
Se1 0.583 0.583 0.417
Ca1 0.068 0.068 0.932
In1 0.349 0.349 0.651

Size of the total moment ... 0.00 μB per formula unit
Raw formation energy ... -0.907 eV/atom

---

(4)
This record from Alexandria describes an optimized crystal structure of Ca2InSe. The functional is GGA-PBE.

Lattice parameters (Å, degrees): 7.821 5.452 3.690 90.18 61.57 123.79
Positions (direct):
Se1 0.500 0.500 0.000
Ca1 0.500 0.000 0.500
Ca2 0.000 0.000 0.000
In1 0.000 0.500 0.500

Size of the total moment ... 0.00 μB per formula unit
Raw formation energy ... -0.864 eV/atom

---

(5)
This record from Alexandria describes an optimized crystal structure of CaIn2Se. The functional is GGA-PBE.

Lattice parameters (Å, degrees): 4.399 4.411 5.853 90.00 90.00 90.00
Positions (direct):
In1 0.000 0.000 0.007
In2 0.000 0.000 0.493
Ca1 0.500 0.500 0.750
Se1 0.500 0.500 0.250

Size of the total moment ... 0.00 μB per formula unit
Raw formation energy ... -0.391 eV/atom

---

(6)
This record from Alexandria describes an optimized crystal structure of Ca2InSe. The functional is GGA-PBE.

Lattice parameters (Å, degrees): 3.573 3.596 9.104 66.67 90.00 90.00
Positions (direct):
Ca1 0.000 0.037 0.963
Ca2 0.000 0.463 0.537
Se1 0.500 0.750 0.750
In1 0.500 0.250 0.250

Size of the total moment ... 0.00 μB per formula unit
Raw formation energy ... -1.023 eV/atom

---

(7)
This record from Alexandria describes an optimized crystal structure of CaIn2Se4. The functional is GGA-PBE.

Lattice parameters (Å, degrees): 4.088 7.038 13.033 90.00 90.00 106.88
Positions (direct):
Se1 0.221 0.443 0.618
Se2 0.049 0.097 0.250
Se3 0.221 0.443 0.882
Se4 0.779 0.557 0.382
Se5 0.500 0.000 0.500
Se6 0.951 0.903 0.750
Se7 0.779 0.557 0.118
Se8 0.500 0.000 0.000
In1 0.862 0.723 0.568
In2 0.138 0.277 0.068
In3 0.862 0.723 0.932
In4 0.138 0.277 0.432
Ca1 0.605 0.209 0.750
Ca2 0.395 0.791 0.250

Size of the total moment ... 0.00 μB per formula unit
Raw formation energy ... -0.887 eV/atom

---

(8)
This record from Alexandria describes an optimized crystal structure of CaInSe4. The functional is GGA-PBE.

Lattice parameters (Å, degrees): 5.954 5.954 5.954 60.00 60.00 60.00
Positions (direct):
Se1 0.375 0.375 0.375
Se2 0.375 0.375 0.875
Se3 0.375 0.875 0.375
Se4 0.875 0.375 0.375
Ca1 0.750 0.750 0.750
In1 0.000 0.000 0.000

Size of the total moment ... 0.00 μB per formula unit
Raw formation energy ... -0.176 eV/atom

---

(9)
This record from Alexandria describes an optimized crystal structure of CaIn2Se. The functional is GGA-PBE.

Lattice parameters (Å, degrees): 9.032 9.032 9.032 24.82 24.82 24.82
Positions (direct):
In1 0.988 0.988 0.988
In2 0.512 0.512 0.512
Ca1 0.750 0.750 0.750
Se1 0.250 0.250 0.250

Size of the total moment ... 0.00 μB per formula unit
Raw formation energy ... -0.337 eV/atom

---

(10)
This record from Alexandria describes an optimized crystal structure of Ca2InSe. The functional is GGA-PBE.

Lattice parameters (Å, degrees): 6.312 4.381 4.385 90.00 90.00 90.00
Each line ends with the local moment (μB).
Positions (direct):
Ca1 0.500 0.377 0.375  0.05
Ca2 0.000 0.873 0.875  0.01
In1 0.000 0.373 0.375  0.09
Se1 0.500 0.876 0.875  0.02

Size of the total moment ... 0.43 μB per formula unit
Raw formation energy ... -0.842 eV/atom

---

(11)
This record from Alexandria describes an optimized crystal structure of Ca2InSe. The functional is GGA-PBE.

Lattice parameters (Å, degrees): 5.315 5.315 3.843 90.00 90.00 90.00
Positions (direct):
Ca1 0.500 0.500 0.000
Ca2 0.000 0.000 0.000
In1 0.500 0.000 0.500
Se1 0.000 0.500 0.500

Size of the total moment ... 0.00 μB per formula unit
Raw formation energy ... -0.836 eV/atom

---

(12)
This record from Alexandria describes an optimized crystal structure of Ca2InSe. The functional is GGA-PBE.

Lattice parameters (Å, degrees): 8.157 8.157 6.911 53.83 53.83 90.00
Positions (direct):
Se1 0.500 0.500 0.000
Se2 0.250 0.750 0.500
Ca1 0.587 0.125 0.250
Ca2 0.163 0.625 0.250
Ca3 0.875 0.837 0.750
Ca4 0.375 0.413 0.750
In1 0.750 0.250 0.500
In2 0.000 0.000 0.000

Size of the total moment ... 0.00 μB per formula unit
Raw formation energy ... -0.825 eV/atom